This record from Alexandria describes Ba3TaB after structural relaxation. The functional is PBE.

The value obtained for the energy above the most stable polymorph in this dataset is 0.000 eV/atom. For the energy of formation from the pure elements, the calculation gives 7.030 eV per formula unit. As for the crystal system: cubic.

The space group is Pm-3m (No. 221) and the conventional cell measures 5.739, 5.739 and 5.739 Å, with angles of 90.00, 90.00 and 90.00 degrees. The distinct sites, in fractional coordinates, are Ba at (0.000, 0.000, 0.500), Ta at (0.500, 0.500, 0.500) and B at (0.000, 0.000, 0.000).


This record from Alexandria describes BaTa2BTe after structural relaxation. The functional is PBE.

The formation energy from raw total energies comes out at 1.757 eV per atom. As for the crystal system: tetragonal.

The space group is P4/mmm (No. 123) and the conventional cell measures 5.223, 5.223 and 4.950 Å, with angles of 90.00, 90.00 and 90.00 degrees. The distinct sites, in fractional coordinates, are Ba at (0.000, 0.000, 0.000), Ta at (0.000, 0.500, 0.500), B at (0.500, 0.500, 0.000) and Te at (0.500, 0.500, 0.500).


This record from Alexandria describes BaTcB3 after structural relaxation. The functional is PBE.

The value obtained for the energy above the most stable polymorph in this dataset is 0.000 eV/atom. For the energy of formation from the pure elements, the calculation gives 1.730 eV per formula unit. As for the crystal system: cubic.

The space group is Pm-3m (No. 221) and the conventional cell measures 4.307, 4.307 and 4.307 Å, with angles of 90.00, 90.00 and 90.00 degrees. The distinct sites, in fractional coordinates, are Ba at (0.000, 0.000, 0.000), Tc at (0.500, 0.500, 0.500) and B at (0.000, 0.500, 0.500).


This record from Alexandria describes BaTcB2 after structural relaxation. The functional is PBE.

The value obtained for the energy above the most stable polymorph in this dataset is 1.375 eV/atom. For the energy of formation from the pure elements, the calculation gives 6.599 eV per formula unit. As for the crystal system: cubic.

The space group is Fm-3m (No. 225) and the conventional cell measures 6.450, 6.450 and 6.450 Å, with angles of 90.00, 90.00 and 90.00 degrees. The distinct sites, in fractional coordinates, are Ba at (0.000, 0.000, 0.000), Tc at (0.000, 0.000, 0.500) and B at (0.250, 0.250, 0.250).


This record from Alexandria describes BaTcB3 after structural relaxation. The functional is PBE.

The value obtained for the energy above the most stable polymorph in this dataset is 3.150 eV/atom. For the energy of formation from the pure elements, the calculation gives 17.482 eV per formula unit. As for the crystal system: cubic.

The space group is Pm-3m (No. 221) and the conventional cell measures 4.493, 4.493 and 4.493 Å, with angles of 90.00, 90.00 and 90.00 degrees. The distinct sites, in fractional coordinates, are Ba at (0.000, 0.000, 0.000), Tc at (0.500, 0.500, 0.500) and B at (0.000, 0.000, 0.500).


This record from Alexandria describes BaTcB2 after structural relaxation. The functional is PBE.

The value obtained for the energy above the most stable polymorph in this dataset is 0.000 eV/atom. For the energy of formation from the pure elements, the calculation gives 1.098 eV per formula unit. As for the crystal system: tetragonal.

The space group is I4_1/amd (No. 141, origin choice 2) and the conventional cell measures 5.504, 5.504 and 11.585 Å, with angles of 90.00, 90.00 and 90.00 degrees. The distinct sites, in fractional coordinates, are Ba at (0.000, 0.250, 0.375), Tc at (0.000, 0.250, 0.875) and B at (0.000, 0.000, 0.000).


This record from Alexandria describes Ba2YTcB after structural relaxation. The functional is PBE.

For the energy of formation from the pure elements, the calculation gives 4.408 eV per formula unit. As for the crystal system: tetragonal.

The space group is P4/mmm (No. 123) and the conventional cell measures 6.150, 6.150 and 4.112 Å, with angles of 90.00, 90.00 and 90.00 degrees. The distinct sites, in fractional coordinates, are Ba at (0.000, 0.500, 0.000), Y at (0.000, 0.000, 0.500), Tc at (0.500, 0.500, 0.000) and B at (0.500, 0.500, 0.500).


This record from Alexandria describes Ba2BTe after structural relaxation. The functional is PBE.

The value obtained for the energy above the most stable polymorph in this dataset is 0.000 eV/atom. The formation energy from raw total energies comes out at -0.076 eV per atom. As for the crystal system: tetragonal.

The space group is I-42d (No. 122) and the conventional cell measures 8.411, 8.411 and 9.286 Å, with angles of 90.00, 90.00 and 90.00 degrees. The distinct sites, in fractional coordinates, are Ba at (0.208, 0.250, 0.125), B at (0.000, 0.000, 0.000) and Te at (0.000, 0.000, 0.500).


This record from Alexandria describes Ba2BTe2 after structural relaxation. The functional is PBE.

The value obtained for the energy above the most stable polymorph in this dataset is 0.000 eV/atom. The formation energy from raw total energies comes out at -0.339 eV per atom. As for the crystal system: tetragonal.

The space group is P4/mbm (No. 127) and the conventional cell measures 8.916, 8.916 and 4.638 Å, with angles of 90.00, 90.00 and 90.00 degrees. The distinct sites, in fractional coordinates, are Ba at (0.154, 0.346, 0.000), B at (0.000, 0.000, 0.500) and Te at (0.156, 0.656, 0.500).


This record from Alexandria describes Ba3BTe after structural relaxation. The functional is PBE.

The value obtained for the energy above the most stable polymorph in this dataset is 0.000 eV/atom. The formation energy from raw total energies comes out at -0.226 eV per atom. As for the crystal system: cubic.

The space group is Pm-3m (No. 221) and the conventional cell measures 5.849, 5.849 and 5.849 Å, with angles of 90.00, 90.00 and 90.00 degrees. The distinct sites, in fractional coordinates, are Ba at (0.000, 0.000, 0.500), B at (0.000, 0.000, 0.000) and Te at (0.500, 0.500, 0.500).


This record from Alexandria describes Ba2BTe2 after structural relaxation. The functional is PBE.

The value obtained for the energy above the most stable polymorph in this dataset is 0.101 eV/atom. The formation energy from raw total energies comes out at -0.238 eV per atom. As for the crystal system: tetragonal.

The space group is I4/mmm (No. 139) and the conventional cell measures 6.845, 6.845 and 8.200 Å, with angles of 90.00, 90.00 and 90.00 degrees. The distinct sites, in fractional coordinates, are Ba at (0.000, 0.500, 0.250), B at (0.000, 0.000, 0.000) and Te at (0.000, 0.000, 0.268).


This record from Alexandria describes Ba2BTe after structural relaxation. The functional is PBE.

The value obtained for the energy above the most stable polymorph in this dataset is 0.023 eV/atom. The formation energy from raw total energies comes out at -0.052 eV per atom. As for the crystal system: cubic.

The space group is Fm-3m (No. 225) and the conventional cell measures 8.192, 8.192 and 8.192 Å, with angles of 90.00, 90.00 and 90.00 degrees. The distinct sites, in fractional coordinates, are Ba at (0.250, 0.250, 0.250), B at (0.000, 0.000, 0.000) and Te at (0.000, 0.000, 0.500).


This record from Alexandria describes BaTl2BTe after structural relaxation. The functional is PBE.

The formation energy from raw total energies comes out at 0.105 eV per atom. As for the crystal system: tetragonal.

The space group is P4/mmm (No. 123) and the conventional cell measures 4.995, 4.995 and 5.998 Å, with angles of 90.00, 90.00 and 90.00 degrees. The distinct sites, in fractional coordinates, are Ba at (0.000, 0.000, 0.000), Tl at (0.000, 0.500, 0.500), B at (0.500, 0.500, 0.500) and Te at (0.500, 0.500, 0.000).